# Hg3GeCl (PBE, relaxed)
data_Hg3GeCl
_symmetry_space_group_name_H-M 'P m -3 m'
_symmetry_Int_Tables_number 221
_symmetry_space_group_name_Hall '-P 4 2 3'
_cell_length_a 5.3014
_cell_length_b 5.3014
_cell_length_c 5.3014
_cell_angle_alpha 90.00
_cell_angle_beta 90.00
_cell_angle_gamma 90.00
loop_
_atom_site_label
_atom_site_type_symbol
_atom_site_fract_x
_atom_site_fract_y
_atom_site_fract_z
Hg1 Hg 0.0000 0.0000 0.5000
Ge1 Ge 0.0000 0.0000 0.0000
Cl1 Cl 0.5000 0.5000 0.5000
# * formation energy without anion corrections: -0.091 eV per atom
# * V: 149.0 Å³ per cell
# * DOS(E_F): 1.0 states/eV/cell
# * electronic total energy: -1.564 eV/atom
# * crystal system: cubic
# * energy relative to the lowest polymorph listed for this composition: 0.0000 eV per atom